Entry from Alexandria via LeMat-Bulk: an optimized crystal structure of CsReCl6 (PBE-GGA).

Computed properties:
- energy relative to the elements, uncorrected (eV/f.u.) = -7.936
- offset from the most stable computed form (meV/atom) = 8
- uncorrected energy (eV per atom) = -4.04

CIF file:
```
data_CsReCl6
_space_group_name_H-M_alt 'R -3 m'
_space_group_IT_number 166
_space_group_name_Hall '-R 3 2"'
_cell_length_a 6.9599
_cell_length_b 6.9599
_cell_length_c 19.0063
_cell_angle_alpha 90.00
_cell_angle_beta 90.00
_cell_angle_gamma 120.00
loop_
_atom_site_label
_atom_site_fract_x
_atom_site_fract_y
_atom_site_fract_z
Cs1 0.0000 0.0000 0.0000
Re1 0.0000 0.0000 0.5000
Cl1 0.0171 0.5085 0.0960
```

=====

Entry from Alexandria via LeMat-Bulk: an optimized crystal structure of Cs2ReCl7 (PBE-GGA).

Computed properties:
- energy relative to the elements, uncorrected (eV/f.u.) = -10.950
- uncorrected energy (eV per atom) = -3.80

CIF file:
```
data_Cs2ReCl7
_space_group_name_H-M_alt 'F m -3 m'
_space_group_IT_number 225
_space_group_name_Hall '-F 4 2 3'
_cell_length_a 11.1843
_cell_length_b 11.1843
_cell_length_c 11.1843
_cell_angle_alpha 90.00
_cell_angle_beta 90.00
_cell_angle_gamma 90.00
loop_
_atom_site_label
_atom_site_fract_x
_atom_site_fract_y
_atom_site_fract_z
Cs1 0.2500 0.2500 0.2500
Re1 0.0000 0.0000 0.0000
Cl1 0.0000 0.0000 0.2103
Cl2 0.0000 0.0000 0.5000
```

=====

Entry from Alexandria via LeMat-Bulk: an optimized crystal structure of CsReCl6 (PBE-GGA).

Computed properties:
- energy relative to the elements, uncorrected (eV/f.u.) = -8.001
- offset from the most stable computed form (meV/atom) = 0
- uncorrected energy (eV per atom) = -4.05

CIF file:
```
data_CsReCl6
_space_group_name_H-M_alt 'C 1 2/c 1'
_space_group_IT_number 15
_space_group_name_Hall '-C 2yc'
_cell_length_a 12.3139
_cell_length_b 6.6489
_cell_length_c 12.7477
_cell_angle_alpha 90.00
_cell_angle_beta 102.98
_cell_angle_gamma 90.00
loop_
_atom_site_label
_atom_site_fract_x
_atom_site_fract_y
_atom_site_fract_z
Cs1 0.0000 0.1202 0.2500
Re1 0.2500 0.2500 0.0000
Cl1 0.0820 0.3710 0.8964
Cl2 0.1586 0.0376 0.5399
Cl3 0.2136 0.4121 0.1513
```

=====

Entry from Alexandria via LeMat-Bulk: an optimized crystal structure of CsReCl5 (PBE-GGA).

Computed properties:
- energy relative to the elements, uncorrected (eV/f.u.) = -6.880
- uncorrected energy (eV per atom) = -4.20

CIF file:
```
data_CsReCl5
_space_group_name_H-M_alt 'C 1 2/c 1'
_space_group_IT_number 15
_space_group_name_Hall '-C 2yc'
_cell_length_a 13.5647
_cell_length_b 8.2026
_cell_length_c 9.3790
_cell_angle_alpha 90.00
_cell_angle_beta 110.97
_cell_angle_gamma 90.00
loop_
_atom_site_label
_atom_site_fract_x
_atom_site_fract_y
_atom_site_fract_z
Cs1 0.0000 0.0076 0.2500
Re1 0.0000 0.5000 0.0000
Cl1 0.0000 0.4138 0.7500
Cl2 0.1294 0.2991 0.5300
Cl3 0.1325 0.3031 0.1054
```